Entry 1:
An optimized crystal structure of CaLa2ZnTc. Source: Alexandria via LeMat-Bulk, functional GGA-PBE.

Properties
energy: -23.192 eV per cell

Cell and atoms, written as POSCAR:
```
CaLa2ZnTc
1.0
5.388 0.000 0.000
0.000 5.388 0.000
0.000 0.000 5.273
Ca Tc La Zn
1 1 2 1
direct
0.500 0.500 0.500
0.000 0.000 0.000
0.000 0.500 0.000
0.500 0.000 0.000
0.000 0.000 0.500
```

=====

Entry 2:
An optimized crystal structure of AcGa3Ge3. Source: Alexandria via LeMat-Bulk, functional GGA-PBE.

Properties
energy relative to the lowest polymorph listed for this composition: 35 meV/atom
energy: -57.245 eV per cell

Cell and atoms, written as POSCAR:
```
AcGa3Ge3
1.0
7.401 0.000 0.000
3.700 6.409 0.000
3.700 2.136 7.387
Ga Ge Ac
6 6 2
direct
0.122 0.465 0.635
0.878 0.535 0.365
0.465 0.779 0.635
0.535 0.221 0.365
0.779 0.122 0.635
0.221 0.878 0.365
0.593 0.911 0.265
0.231 0.593 0.265
0.407 0.089 0.735
0.769 0.407 0.735
0.911 0.231 0.265
0.089 0.769 0.735
0.666 0.666 0.001
0.334 0.334 0.999
```

=====

Entry 3:
An optimized crystal structure of Nd5Sm4Hg. Source: Alexandria via LeMat-Bulk, functional GGA-PBE.

Properties
energy: -43.835 eV per cell

Cell and atoms, written as POSCAR:
```
Nd5Sm4Hg
1.0
3.690 0.000 0.000
0.000 3.690 0.000
0.000 0.000 24.531
Nd Hg Sm
5 1 4
direct
0.500 0.500 0.709
0.500 0.500 0.500
0.500 0.500 0.916
0.500 0.500 0.291
0.500 0.500 0.084
0.000 0.000 0.000
0.000 0.000 0.188
0.000 0.000 0.396
0.000 0.000 0.812
0.000 0.000 0.604
```

=====

Entry 4:
An optimized crystal structure of Co2BI. Source: Alexandria via LeMat-Bulk, functional GGA-PBE.

Properties
energy relative to the elements, uncorrected: 1.20 eV/atom
energy relative to the lowest polymorph listed for this composition: 659 meV/atom
energy: -17.649 eV per cell

Cell and atoms, written as POSCAR:
```
Co2BI
1.0
-0.791 -3.290 2.441
-3.576 -2.105 -0.430
0.025 -3.848 -1.612
Co I B
2 1 1
direct
0.750 0.750 0.750
0.250 0.250 0.250
0.500 0.500 0.500
0.000 0.000 0.000
```